1.
The following is a PBE-GGA calculation of an optimized crystal structure of Sr3CdSb3, from Alexandria.

Cell and atoms, written as extended XYZ:
```
28
Lattice="7.021 0.000 0.000 -3.511 10.390 0.000 0.000 0.000 13.832" Properties=species:S:1:pos:R:3 pbc="T T T"
Sr 1.467 3.622 5.116
Sr 2.043 6.768 8.716
Sr -1.467 6.768 12.032
Sr 1.467 6.768 1.800
Sr 5.602 0.000 4.936
Sr 2.043 3.622 12.032
Sr 2.092 0.000 1.980
Sr -2.043 6.768 5.116
Sr 5.554 3.622 8.716
Sr 4.929 0.000 11.852
Sr 1.419 0.000 8.896
Sr 4.978 3.622 1.800
Sb 1.909 3.406 8.643
Sb 5.136 0.000 8.518
Sb 1.601 6.984 5.189
Sb 1.601 3.406 1.727
Sb -1.909 6.984 1.727
Sb 5.112 3.406 5.189
Sb 1.909 6.984 12.105
Sb 5.396 0.000 1.602
Sb 1.625 0.000 12.229
Sb 1.885 0.000 5.314
Sb 5.420 3.406 12.105
Sb -1.601 6.984 8.643
Cd 3.511 8.608 0.000
Cd 0.000 1.783 0.000
Cd 0.000 8.608 6.916
Cd 3.511 1.783 6.916
```

## Properties
Its symmetry is Cmce. Its total DFT energy (no corrections) is -95.68 eV for the cell shown.

=====

2.
The following is a PBE-GGA calculation of an optimized crystal structure of TlCr2W, from Alexandria.

Cell and atoms, written as extended XYZ:
```
4
Lattice="0.000 3.149 3.149 3.149 0.000 3.149 3.149 3.149 0.000" Properties=species:S:1:pos:R:3 pbc="T T T"
Cr 1.574 1.574 1.574
Cr 4.723 4.723 4.723
Tl 3.149 3.149 3.149
W 0.000 0.000 0.000
```

## Properties
As for the relative energy among the computed polymorphs: 159 meV per atom. Its symmetry is Fm-3m.

=====

3.
The following is a PBE-GGA calculation of an optimized crystal structure of KMgSi3, from Alexandria.

Cell and atoms, written as extended XYZ:
```
5
Lattice="-0.217 2.901 4.175 4.132 -2.334 1.836 2.961 3.468 -2.257" Properties=species:S:1:pos:R:3 pbc="T T T"
Si -0.108 1.450 2.087
Si 1.481 1.734 -1.128
Si 2.066 -1.167 0.918
K 3.438 2.018 1.877
Mg 0.000 0.000 0.000
```

## Properties
As for the relative energy among the computed polymorphs: 0 meV per atom. Its symmetry is Pm-3m.

=====

4.
The following is a PBE-GGA calculation of an optimized crystal structure of La2TmTl, from Alexandria.

Cell and atoms, written as extended XYZ:
```
4
Lattice="3.756 0.000 0.000 0.000 3.756 0.000 0.000 0.000 9.394" Properties=species:S:1:pos:R:3 pbc="T T T"
La 0.000 0.000 2.204
La 0.000 0.000 7.190
Tl 1.878 1.878 0.000
Tm 1.878 1.878 4.697
```

## Properties
As for the relative energy among the computed polymorphs: 65 meV per atom. Its symmetry is P4/mmm.

=====

5.
The following is a PBE-GGA calculation of an optimized crystal structure of Tm5ScIn4, from Alexandria.

Cell and atoms, written as extended XYZ:
```
10
Lattice="-2.009 -2.737 1.438 2.632 -0.614 2.508 -8.437 12.447 11.900" Properties=species:S:1:pos:R:3 pbc="T T T"
In -5.050 7.450 7.123
In -3.387 4.997 4.777
In -6.726 9.924 9.487
In -1.710 2.524 2.413
Tm -3.907 4.548 7.923
Tm -7.251 9.482 12.640
Tm -2.245 2.096 5.579
Tm -5.569 7.000 10.267
Tm -0.563 -0.385 3.207
Sc 0.000 0.000 0.000
```

## Properties
Its symmetry is P4/mmm. Its total DFT energy (no corrections) is -43.12 eV for the cell shown.

=====

6.
The following is a PBE-GGA calculation of an optimized crystal structure of TmLu2Al, from Alexandria.

Cell and atoms, written as extended XYZ:
```
4
Lattice="4.674 0.000 0.000 0.000 4.663 0.000 0.000 0.000 4.663" Properties=species:S:1:pos:R:3 pbc="T T T"
Lu 0.000 2.331 0.000
Lu 0.000 0.000 2.331
Al 2.337 0.000 0.000
Tm 2.337 2.331 2.331
```

## Properties
As for the relative energy among the computed polymorphs: 0 meV per atom. Its symmetry is P4/mmm.